Version a
Ce5Sn2Ru | Alexandria | PBE-GGA | optimized geometry; calculated density = 7.65 Mg/m³
1.0
4.691 0.000 0.000
0.000 7.866 0.000
0.000 0.000 12.222
Ce Sn Ru
10 4 2
direct
0.000 0.000 0.500
0.000 0.500 0.000
0.000 0.873 0.200
0.000 0.127 0.800
0.000 0.627 0.700
0.000 0.373 0.300
0.500 0.702 0.439
0.500 0.298 0.561
0.500 0.798 0.939
0.500 0.202 0.061
0.500 0.587 0.175
0.500 0.413 0.825
0.500 0.913 0.675
0.500 0.087 0.325
0.000 0.500 0.500
0.000 0.000 0.000



Version b
Ce5Sn2Ru | Alexandria | PBE-GGA | optimized geometry; calculated density = 8.02 Mg/m³
1.0
-1.495 -0.131 7.025
4.365 -5.621 1.030
1.755 5.439 -3.256
Ce Sn Ru
5 2 1
direct
0.729 0.261 0.010
0.235 0.235 0.964
0.772 0.772 0.039
0.260 0.728 0.008
0.720 0.720 0.390
0.249 0.720 0.497
0.719 0.248 0.497
0.093 0.093 0.149



Most stable to least stable: version a, version b



Version a
Ce2Sn2Ru3 | Alexandria | PBE-GGA | optimized geometry; calculated density = 8.58 Mg/m³
1.0
3.948 0.186 -0.180
-1.672 6.485 0.912
-0.305 -0.162 6.126
Ce Sn Ru
2 2 3
direct
0.601 0.273 0.871
0.399 0.727 0.129
0.871 0.781 0.659
0.129 0.219 0.341
0.000 0.000 0.000
0.735 0.508 0.341
0.265 0.492 0.659



Version b
Ce2Sn2Ru3 | Alexandria | PBE-GGA | optimized geometry; calculated density = 9.45 Mg/m³
1.0
-5.274 4.454 2.081
-2.877 -6.014 -2.746
4.110 -1.679 5.681
Ce Sn Ru
4 4 6
direct
0.000 0.000 0.885
0.500 0.885 0.500
0.115 0.615 0.615
0.385 0.500 0.000
0.000 0.000 0.431
0.500 0.431 0.500
0.569 0.069 0.069
0.931 0.500 0.000
0.702 0.750 0.952
0.798 0.250 0.548
0.048 0.298 0.250
0.452 0.202 0.750
0.250 0.952 0.202
0.750 0.548 0.298



Most stable to least stable: version a, version b



Version a
Ce4SnRu | Alexandria | PBE-GGA | optimized geometry; calculated density = 8.61 Mg/m³
1.0
4.913 0.000 -2.302
0.000 6.668 0.000
-0.533 0.000 9.440
Ce Sn Ru
8 2 2
direct
0.683 0.250 0.473
0.317 0.750 0.527
0.660 0.250 0.877
0.340 0.750 0.123
0.974 0.036 0.262
0.026 0.536 0.738
0.974 0.464 0.262
0.026 0.964 0.738
0.328 0.250 0.083
0.672 0.750 0.917
0.331 0.250 0.595
0.669 0.750 0.405



Version b
Ce4SnRu | Alexandria | PBE-GGA | optimized geometry; calculated density = 8.38 Mg/m³
1.0
-5.496 -1.537 1.191
5.002 -1.819 6.140
-0.911 7.999 -0.851
Ce Sn Ru
8 2 2
direct
0.045 0.203 0.843
0.809 0.718 0.616
0.298 0.640 0.843
0.307 0.898 0.616
0.693 0.102 0.384
0.702 0.360 0.157
0.191 0.282 0.384
0.955 0.797 0.157
0.370 0.620 0.240
0.630 0.380 0.760
0.269 0.019 0.039
0.731 0.981 0.961



Most stable to least stable: version a, version b



Version a
Tb5Ce2Ru5 | Alexandria | PBE-GGA | optimized geometry; calculated density = 9.22 Mg/m³
1.0
3.513 0.000 0.000
-1.757 7.163 0.051
0.000 -3.321 11.285
Tb Ce Ru
5 2 5
direct
0.500 0.000 0.500
0.665 0.330 0.056
0.766 0.532 0.367
0.234 0.468 0.633
0.335 0.670 0.944
0.022 0.044 0.786
0.978 0.956 0.214
0.109 0.218 0.391
0.679 0.359 0.804
0.321 0.641 0.196
0.891 0.782 0.609
0.000 0.000 0.000



Version b
Tb5Ce2Ru5 | Alexandria | PBE-GGA | optimized geometry; calculated density = 9.72 Mg/m³
1.0
-4.142 -1.495 -2.144
-0.884 -4.816 -0.125
-7.733 -1.281 10.376
Tb Ce Ru
5 2 5
direct
0.500 0.500 0.500
0.311 0.311 0.070
0.208 0.208 0.350
0.792 0.792 0.650
0.689 0.689 0.930
0.090 0.090 0.776
0.910 0.910 0.224
0.854 0.854 0.428
0.356 0.356 0.839
0.644 0.644 0.161
0.146 0.146 0.572
0.000 0.000 0.000



Most stable to least stable: version a, version b



Version a
Tb3CeRu2 | Alexandria | PBE-GGA | optimized geometry; calculated density = 8.37 Mg/m³
1.0
-6.015 -1.396 2.678
3.206 -2.836 5.723
1.349 8.160 -1.174
Tb Ce Ru
6 2 4
direct
0.500 0.250 0.000
0.500 0.750 0.000
0.761 0.011 0.521
0.239 0.489 0.479
0.239 0.989 0.479
0.761 0.511 0.521
0.000 0.500 0.000
0.000 0.000 0.000
0.624 0.376 0.752
0.872 0.124 0.248
0.128 0.876 0.752
0.376 0.624 0.248



Version b
Tb3CeRu2 | Alexandria | PBE-GGA | optimized geometry; calculated density = 8.35 Mg/m³
1.0
4.052 0.000 0.971
1.400 7.591 3.098
-0.347 -0.335 10.391
Tb Ce Ru
6 2 4
direct
0.058 0.086 0.798
0.942 0.914 0.202
0.670 0.692 0.969
0.330 0.308 0.031
0.793 0.821 0.592
0.207 0.179 0.408
0.441 0.448 0.670
0.559 0.552 0.330
0.868 0.434 0.831
0.132 0.566 0.169
0.612 0.178 0.598
0.388 0.822 0.402



Most stable to least stable: version a, version b



Version a
Tb3Ce2Ru4 | Alexandria | PBE-GGA | optimized geometry; calculated density = 9.27 Mg/m³
1.0
5.916 0.430 0.308
0.902 8.698 0.084
0.902 2.882 8.207
Tb Ce Ru
6 4 8
direct
0.900 0.988 0.205
0.600 0.795 0.012
0.100 0.012 0.795
0.400 0.205 0.988
0.250 0.629 0.371
0.750 0.371 0.629
0.466 0.210 0.412
0.034 0.588 0.790
0.534 0.790 0.588
0.966 0.412 0.210
0.384 0.941 0.311
0.116 0.689 0.059
0.616 0.059 0.689
0.884 0.311 0.941
0.992 0.161 0.435
0.508 0.565 0.839
0.008 0.839 0.565
0.492 0.435 0.161



Version b
Tb3Ce2Ru4 | Alexandria | PBE-GGA | optimized geometry; calculated density = 9.64 Mg/m³
1.0
-4.673 2.460 2.616
-5.821 -2.723 -5.934
-4.094 -7.544 1.686
Tb Ce Ru
6 4 8
direct
0.919 0.001 0.799
0.581 0.201 0.999
0.081 0.999 0.201
0.419 0.799 0.001
0.250 0.570 0.430
0.750 0.430 0.570
0.427 0.812 0.594
0.073 0.406 0.188
0.573 0.188 0.406
0.927 0.594 0.812
0.410 0.161 0.706
0.090 0.294 0.839
0.590 0.839 0.294
0.910 0.706 0.161
0.916 0.834 0.542
0.584 0.458 0.166
0.084 0.166 0.458
0.416 0.542 0.834



Most stable to least stable: version a, version b